(a)
! La3NdGa4O12 | Alexandria | PBE-GGA | optimized geometry; values from VASP
! N(E_F) = 0.0 states/eV/cell
&SYSTEM
  ibrav = 0, nat = 20, ntyp = 4
/
ATOMIC_SPECIES
La 138.91 La.upf
Nd 144.24 Nd.upf
Ga 69.72 Ga.upf
O 16.00 O.upf
ATOMIC_POSITIONS crystal
La 0.875 0.125 0.000
La 0.124 0.374 0.251
La 0.626 0.876 0.749
Nd 0.375 0.625 0.500
Ga 0.750 0.999 0.376
Ga 0.250 0.501 0.874
Ga 0.001 0.250 0.624
Ga 0.499 0.750 0.126
O 0.952 0.048 0.500
O 0.444 0.556 0.000
O 0.088 0.911 0.214
O 0.589 0.413 0.712
O 0.587 0.411 0.288
O 0.089 0.912 0.786
O 0.411 0.092 0.535
O 0.909 0.588 0.035
O 0.908 0.589 0.465
O 0.412 0.091 0.965
O 0.552 0.941 0.253
O 0.059 0.448 0.747
CELL_PARAMETERS angstrom
-4.278 -3.435 0.516
0.462 -4.372 3.323
-4.461 2.257 8.289

=====

(b)
! La3NdGa4O12 | Alexandria | PBE-GGA | optimized geometry; values from VASP
! N(E_F) = 0.0 states/eV/cell
&SYSTEM
  ibrav = 0, nat = 20, ntyp = 4
/
ATOMIC_SPECIES
Nd 144.24 Nd.upf
O 16.00 O.upf
Ga 69.72 Ga.upf
La 138.91 La.upf
ATOMIC_POSITIONS crystal
Nd 0.000 0.044 0.511
O 0.000 0.479 0.422
O 0.000 0.983 0.086
O 0.500 0.516 0.578
O 0.500 0.016 0.923
O 0.205 0.788 0.712
O 0.794 0.283 0.782
O 0.710 0.213 0.285
O 0.292 0.712 0.213
O 0.290 0.213 0.285
O 0.708 0.712 0.213
O 0.795 0.788 0.712
O 0.206 0.283 0.782
Ga 0.249 0.502 0.500
Ga 0.751 0.999 0.000
Ga 0.751 0.502 0.500
Ga 0.249 0.999 0.000
La 0.000 0.536 0.992
La 0.500 0.966 0.492
La 0.500 0.464 0.009
CELL_PARAMETERS angstrom
7.860 0.000 0.000
0.000 5.588 0.001
0.000 0.010 5.541

=====

Stability ranking, top entry: (b); the second entry is 9 meV/atom less favorable.

=====

(a)
! LaNdGaPd | Alexandria | PBE-GGA | optimized geometry; values from VASP
! N(E_F) = 3.9 states/eV/cell
&SYSTEM
  ibrav = 0, nat = 4, ntyp = 4
/
ATOMIC_SPECIES
Nd 144.24 Nd.upf
Ga 69.72 Ga.upf
Pd 106.42 Pd.upf
La 138.91 La.upf
ATOMIC_POSITIONS crystal
Nd 0.000 0.000 0.000
Ga 0.250 0.250 0.250
Pd 0.750 0.750 0.750
La 0.500 0.500 0.500
CELL_PARAMETERS angstrom
5.244 0.000 0.000
2.622 4.541 0.000
2.622 1.514 4.281

=====

(b)
! LaNdGaPd | Alexandria | PBE-GGA | optimized geometry; values from VASP
! N(E_F) = 4.1 states/eV/cell
&SYSTEM
  ibrav = 0, nat = 4, ntyp = 4
/
ATOMIC_SPECIES
La 138.91 La.upf
Nd 144.24 Nd.upf
Ga 69.72 Ga.upf
Pd 106.42 Pd.upf
ATOMIC_POSITIONS crystal
La 0.855 0.500 0.710
Nd 0.140 0.000 0.280
Ga 0.432 0.000 0.864
Pd 0.573 0.500 0.145
CELL_PARAMETERS angstrom
4.395 0.000 0.000
0.000 4.507 0.000
-2.197 0.000 5.297

=====

Stability ranking, top entry: (b); the second entry is 66 meV/atom less favorable.

=====

(a)
! LaNdGaPt | Alexandria | PBE-GGA | optimized geometry; values from VASP
! N(E_F) = 3.8 states/eV/cell
&SYSTEM
  ibrav = 0, nat = 4, ntyp = 4
/
ATOMIC_SPECIES
Nd 144.24 Nd.upf
Ga 69.72 Ga.upf
Pt 195.08 Pt.upf
La 138.91 La.upf
ATOMIC_POSITIONS crystal
Nd 0.000 0.000 0.000
Ga 0.250 0.250 0.250
Pt 0.750 0.750 0.750
La 0.500 0.500 0.500
CELL_PARAMETERS angstrom
5.231 0.000 0.000
2.615 4.530 0.000
2.615 1.510 4.271

=====

(b)
! LaNdGaPt | Alexandria | PBE-GGA | optimized geometry; values from VASP
! N(E_F) = 4.0 states/eV/cell
&SYSTEM
  ibrav = 0, nat = 4, ntyp = 4
/
ATOMIC_SPECIES
La 138.91 La.upf
Nd 144.24 Nd.upf
Ga 69.72 Ga.upf
Pt 195.08 Pt.upf
ATOMIC_POSITIONS crystal
La 0.855 0.500 0.711
Nd 0.140 0.000 0.280
Ga 0.432 0.000 0.864
Pt 0.573 0.500 0.146
CELL_PARAMETERS angstrom
-4.007 0.750 1.506
-1.729 -2.239 -3.484
2.212 -4.907 2.056

=====

Stability ranking, top entry: (b); the second entry is 107 meV/atom less favorable.

=====

(a)
! LaNdGaRu | Alexandria | PBE-GGA | optimized geometry; values from VASP
! N(E_F) = 4.5 states/eV/cell
&SYSTEM
  ibrav = 0, nat = 4, ntyp = 4
/
ATOMIC_SPECIES
La 138.91 La.upf
Nd 144.24 Nd.upf
Ga 69.72 Ga.upf
Ru 101.07 Ru.upf
ATOMIC_POSITIONS crystal
La 0.869 0.500 0.737
Nd 0.150 0.000 0.299
Ga 0.566 0.500 0.132
Ru 0.416 0.000 0.832
CELL_PARAMETERS angstrom
-0.968 -1.952 -3.848
3.812 0.062 -0.990
1.196 -4.147 4.343

=====

(b)
! LaNdGaRu | Alexandria | PBE-GGA | optimized geometry; values from VASP
! N(E_F) = 2.8 states/eV/cell
&SYSTEM
  ibrav = 0, nat = 4, ntyp = 4
/
ATOMIC_SPECIES
Ru 101.07 Ru.upf
Nd 144.24 Nd.upf
Ga 69.72 Ga.upf
La 138.91 La.upf
ATOMIC_POSITIONS crystal
Ru 0.500 0.500 0.500
Nd 0.750 0.750 0.750
Ga 0.000 0.000 0.000
La 0.250 0.250 0.250
CELL_PARAMETERS angstrom
-1.962 2.962 -3.725
-1.592 -2.126 -4.410
-5.028 -0.219 -1.084

=====

Stability ranking, top entry: (a); the second entry is 123 meV/atom less favorable.

=====

(a)
! LaNdGaSi | Alexandria | PBE-GGA | optimized geometry; values from VASP
! N(E_F) = 3.3 states/eV/cell
&SYSTEM
  ibrav = 0, nat = 4, ntyp = 4
/
ATOMIC_SPECIES
La 138.91 La.upf
Nd 144.24 Nd.upf
Ga 69.72 Ga.upf
Si 28.09 Si.upf
ATOMIC_POSITIONS crystal
La 0.857 0.500 0.713
Nd 0.140 0.000 0.279
Ga 0.433 0.000 0.865
Si 0.571 0.500 0.142
CELL_PARAMETERS angstrom
-0.348 -3.338 -2.987
-2.452 -2.033 2.557
-4.352 4.215 -0.823

=====

(b)
! LaNdGaSi | Alexandria | PBE-GGA | optimized geometry; values from VASP
! N(E_F) = 2.5 states/eV/cell
&SYSTEM
  ibrav = 0, nat = 4, ntyp = 4
/
ATOMIC_SPECIES
Si 28.09 Si.upf
Nd 144.24 Nd.upf
Ga 69.72 Ga.upf
La 138.91 La.upf
ATOMIC_POSITIONS crystal
Si 0.750 0.750 0.750
Nd 0.000 0.000 0.000
Ga 0.250 0.250 0.250
La 0.500 0.500 0.500
CELL_PARAMETERS angstrom
5.237 0.000 0.000
2.618 4.535 0.000
2.618 1.512 4.276

=====

Stability ranking, top entry: (a); the second entry is 201 meV/atom less favorable.

=====

(a)
! La2GaNi3 | Alexandria | PBE-GGA | optimized geometry; values from VASP
! N(E_F) = 9.7 states/eV/cell
&SYSTEM
  ibrav = 0, nat = 12, ntyp = 3
/
ATOMIC_SPECIES
La 138.91 La.upf
Ga 69.72 Ga.upf
Ni 58.69 Ni.upf
ATOMIC_POSITIONS crystal
La 0.250 0.750 0.500
La 0.758 0.758 0.000
La 0.750 0.250 0.500
La 0.242 0.242 0.000
Ga 0.666 0.666 0.332
Ga 0.334 0.334 0.668
Ni 0.334 0.833 0.167
Ni 0.167 0.666 0.833
Ni 0.666 0.167 0.833
Ni 0.833 0.334 0.167
Ni 0.165 0.165 0.329
Ni 0.835 0.835 0.671
CELL_PARAMETERS angstrom
5.843 -0.043 0.000
-0.270 5.837 0.000
-2.786 -2.897 7.177

=====

(b)
! La2GaNi3 | Alexandria | PBE-GGA | optimized geometry; values from VASP
! N(E_F) = 11.3 states/eV/cell
&SYSTEM
  ibrav = 0, nat = 12, ntyp = 3
/
ATOMIC_SPECIES
La 138.91 La.upf
Ga 69.72 Ga.upf
Ni 58.69 Ni.upf
ATOMIC_POSITIONS crystal
La 0.000 0.000 0.619
La 0.000 0.000 0.381
La 0.000 0.000 0.119
La 0.000 0.000 0.881
Ga 0.667 0.333 0.750
Ga 0.333 0.667 0.250
Ni 0.667 0.333 0.250
Ni 0.333 0.667 0.750
Ni 0.667 0.333 0.501
Ni 0.333 0.667 0.499
Ni 0.333 0.667 0.001
Ni 0.667 0.333 0.999
CELL_PARAMETERS angstrom
4.170 0.000 0.000
-2.085 3.612 0.000
0.000 0.000 16.310

=====

Stability ranking, top entry: (b); the second entry is 13 meV/atom less favorable.

=====

(a)
! La8Ga2Ni | Alexandria | PBE-GGA | optimized geometry; values from VASP
! N(E_F) = 11.0 states/eV/cell
&SYSTEM
  ibrav = 0, nat = 11, ntyp = 3
/
ATOMIC_SPECIES
La 138.91 La.upf
Ga 69.72 Ga.upf
Ni 58.69 Ni.upf
ATOMIC_POSITIONS crystal
La 0.410 0.554 0.820
La 0.655 0.968 0.311
La 0.789 0.705 0.578
La 0.982 0.206 0.963
La 0.211 0.295 0.422
La 0.345 0.032 0.689
La 0.590 0.446 0.180
La 0.018 0.794 0.037
Ga 0.819 0.274 0.638
Ga 0.181 0.726 0.362
Ni 0.500 0.000 0.000
CELL_PARAMETERS angstrom
-3.999 3.043 0.969
-0.105 -2.224 6.555
7.828 6.143 -0.499

=====

(b)
! La8Ga2Ni | Alexandria | PBE-GGA | optimized geometry; values from VASP
! N(E_F) = 14.1 states/eV/cell
&SYSTEM
  ibrav = 0, nat = 11, ntyp = 3
/
ATOMIC_SPECIES
La 138.91 La.upf
Ga 69.72 Ga.upf
Ni 58.69 Ni.upf
ATOMIC_POSITIONS crystal
La 0.654 0.873 0.308
La 0.346 0.565 0.692
La 0.124 0.124 0.248
La 0.000 0.344 0.000
La 0.876 0.876 0.752
La 0.654 0.435 0.308
La 0.346 0.127 0.692
La 0.000 0.656 0.000
Ga 0.206 0.706 0.413
Ga 0.794 0.294 0.587
Ni 0.500 0.000 0.000
CELL_PARAMETERS angstrom
4.673 0.000 -1.422
-1.390 8.043 -4.568
0.149 -0.372 8.876

=====

Stability ranking, top entry: (a); the second entry is 96 meV/atom less favorable.

=====

(a)
! La5Ga2Ni | Alexandria | PBE-GGA | optimized geometry; values from VASP
! N(E_F) = 18.2 states/eV/cell
&SYSTEM
  ibrav = 0, nat = 16, ntyp = 3
/
ATOMIC_SPECIES
La 138.91 La.upf
Ga 69.72 Ga.upf
Ni 58.69 Ni.upf
ATOMIC_POSITIONS crystal
La 0.000 0.000 0.500
La 0.000 0.500 0.000
La 0.000 0.861 0.206
La 0.000 0.139 0.794
La 0.000 0.639 0.706
La 0.000 0.361 0.294
La 0.500 0.679 0.421
La 0.500 0.321 0.579
La 0.500 0.821 0.921
La 0.500 0.179 0.079
Ga 0.500 0.580 0.163
Ga 0.500 0.420 0.837
Ga 0.500 0.920 0.663
Ga 0.500 0.080 0.337
Ni 0.000 0.500 0.500
Ni 0.000 0.000 0.000
CELL_PARAMETERS angstrom
-4.537 1.574 -0.317
-2.487 -6.438 3.649
1.219 5.707 10.899

=====

(b)
! La5Ga2Ni | Alexandria | PBE-GGA | optimized geometry; values from VASP
! N(E_F) = 10.0 states/eV/cell
&SYSTEM
  ibrav = 0, nat = 8, ntyp = 3
/
ATOMIC_SPECIES
La 138.91 La.upf
Ga 69.72 Ga.upf
Ni 58.69 Ni.upf
ATOMIC_POSITIONS crystal
La 0.500 0.500 0.500
La 0.368 0.368 0.897
La 0.632 0.632 0.103
La 0.227 0.227 0.320
La 0.773 0.773 0.680
Ga 0.095 0.095 0.715
Ga 0.905 0.905 0.285
Ni 0.000 0.000 0.000
CELL_PARAMETERS angstrom
-3.229 4.021 1.238
-5.020 -0.006 -1.712
-5.241 -2.918 7.165

=====

Stability ranking, top entry: (a); the second entry is 91 meV/atom less favorable.

=====

(a)
! LaGaNi3 | Alexandria | PBE-GGA | optimized geometry; values from VASP
! N(E_F) = 4.2 states/eV/cell
&SYSTEM
  ibrav = 0, nat = 5, ntyp = 3
/
ATOMIC_SPECIES
Ni 58.69 Ni.upf
Ga 69.72 Ga.upf
La 138.91 La.upf
ATOMIC_POSITIONS crystal
Ni 0.000 0.500 0.000
Ni 0.000 0.000 0.500
Ni 0.500 0.000 0.000
Ga 0.500 0.500 0.500
La 0.000 0.000 0.000
CELL_PARAMETERS angstrom
4.756 0.000 0.000
0.000 4.756 0.000
0.000 0.000 4.756

=====

(b)
! LaGaNi3 | Alexandria | PBE-GGA | optimized geometry; values from VASP
! N(E_F) = 5.3 states/eV/cell
&SYSTEM
  ibrav = 0, nat = 10, ntyp = 3
/
ATOMIC_SPECIES
La 138.91 La.upf
Ga 69.72 Ga.upf
Ni 58.69 Ni.upf
ATOMIC_POSITIONS crystal
La 0.750 0.298 0.202
La 0.250 0.702 0.798
Ga 0.000 0.500 0.500
Ga 0.500 0.000 0.000
Ni 0.768 0.232 0.732
Ni 0.268 0.232 0.732
Ni 0.732 0.768 0.268
Ni 0.232 0.768 0.268
Ni 0.750 0.918 0.582
Ni 0.250 0.082 0.418
CELL_PARAMETERS angstrom
4.628 0.000 1.932
1.825 5.715 2.137
0.100 -1.104 6.271

=====

Stability ranking, top entry: (b); the second entry is 1536 meV/atom less favorable.

=====

(a)
! LaGaNi3 | Alexandria | PBE-GGA | optimized geometry; values from VASP
! N(E_F) = 8.5 states/eV/cell
&SYSTEM
  ibrav = 0, nat = 10, ntyp = 3
/
ATOMIC_SPECIES
La 138.91 La.upf
Ga 69.72 Ga.upf
Ni 58.69 Ni.upf
ATOMIC_POSITIONS crystal
La 0.500 0.000 0.000
La 0.500 0.500 0.500
Ga 0.000 0.500 0.000
Ga 0.000 0.000 0.500
Ni 0.500 0.500 0.000
Ni 0.500 0.000 0.500
Ni 0.000 0.750 0.250
Ni 0.000 0.250 0.250
Ni 0.000 0.250 0.750
Ni 0.000 0.750 0.750
CELL_PARAMETERS angstrom
-0.392 -2.945 -3.423
3.159 -3.525 2.671
-5.932 -2.906 3.180

=====

(b)
! LaGaNi3 | Alexandria | PBE-GGA | optimized geometry; values from VASP
! N(E_F) = 4.9 states/eV/cell
&SYSTEM
  ibrav = 0, nat = 5, ntyp = 3
/
ATOMIC_SPECIES
Ni 58.69 Ni.upf
Ga 69.72 Ga.upf
La 138.91 La.upf
ATOMIC_POSITIONS crystal
Ni 0.000 0.500 0.000
Ni 0.000 0.000 0.500
Ni 0.500 0.000 0.000
Ga 0.000 0.000 0.000
La 0.500 0.500 0.500
CELL_PARAMETERS angstrom
4.415 0.000 0.000
0.000 4.415 0.000
0.000 0.000 4.415

=====

Stability ranking, top entry: (a); the second entry is 62 meV/atom less favorable.

=====

(a)
! LaGa3Ni3 | Alexandria | PBE-GGA | optimized geometry; values from VASP
! N(E_F) = 10.7 states/eV/cell
&SYSTEM
  ibrav = 0, nat = 14, ntyp = 3
/
ATOMIC_SPECIES
Ni 58.69 Ni.upf
Ga 69.72 Ga.upf
La 138.91 La.upf
ATOMIC_POSITIONS crystal
Ni 0.250 0.000 0.500
Ni 0.000 0.500 0.250
Ni 0.500 0.750 0.000
Ni 0.750 0.000 0.500
Ni 0.000 0.500 0.750
Ni 0.500 0.250 0.000
Ga 0.000 0.250 0.500
Ga 0.000 0.750 0.500
Ga 0.500 0.000 0.750
Ga 0.750 0.500 0.000
Ga 0.500 0.000 0.250
Ga 0.250 0.500 0.000
La 0.500 0.500 0.500
La 0.000 0.000 0.000
CELL_PARAMETERS angstrom
-5.127 2.548 3.041
-3.947 -2.768 -4.335
-0.405 -5.280 3.741

=====

(b)
! LaGa3Ni3 | Alexandria | PBE-GGA | optimized geometry; values from VASP
! N(E_F) = 4.2 states/eV/cell
&SYSTEM
  ibrav = 0, nat = 14, ntyp = 3
/
ATOMIC_SPECIES
La 138.91 La.upf
Ga 69.72 Ga.upf
Ni 58.69 Ni.upf
ATOMIC_POSITIONS crystal
La 0.342 0.342 0.974
La 0.658 0.658 0.026
Ga 0.557 0.730 0.623
Ga 0.730 0.090 0.623
Ga 0.090 0.557 0.623
Ga 0.910 0.443 0.377
Ga 0.270 0.910 0.377
Ga 0.443 0.270 0.377
Ni 0.148 0.701 0.246
Ni 0.906 0.148 0.246
Ni 0.701 0.906 0.246
Ni 0.299 0.094 0.754
Ni 0.094 0.852 0.754
Ni 0.852 0.299 0.754
CELL_PARAMETERS angstrom
6.444 0.000 0.000
3.222 5.581 0.000
3.222 1.860 6.613

=====

Stability ranking, top entry: (b); the second entry is 125 meV/atom less favorable.